Here is an optimized crystal structure of CoRhO2F from Alexandria via LeMat-Bulk. Energies are from GGA+U.

- Calculated total energy: -0.3753 Ry/atom
- Total moment: 3.673 μB per cell
- Space group: P4/mmm (123)

Lattice parameters (Å, degrees): 3.933 3.933 4.090 90.00 90.00 90.00
Last column: magnetic moment on the atom in μB.
Fractional positions:
1 Rh 0.000 0.000 0.000  0.53
2 Co 0.500 0.500 0.500  2.65
3 O 0.500 0.000 0.000  0.17
4 F 0.000 0.000 0.500  0.00
5 O 0.000 0.500 0.000  0.17